This record from Alexandria via LeMat-Bulk describes crystalline TmTl2V3F12 at its relaxed geometry. The functional is PBE with a Hubbard U.

Lattice parameters (Å, degrees): 7.8347 7.8347 7.8347 57.85 57.85 57.85
Last column: nearest neighbours and their distance in Å.
Element x y z (fractional)
Tm1 0.0000 0.0000 0.0000  6 F 2.14
Tl1 0.4025 0.4025 0.4025  3 F 3.02
Tl2 0.5975 0.5975 0.5975  3 F 3.02
V1 0.0000 0.0000 0.5000  6 F 2.05-2.08
V2 0.0000 0.5000 0.0000  6 F 2.05-2.08
V3 0.5000 0.0000 0.0000  6 F 2.05-2.08
F1 0.0713 0.0713 0.6700  1 V 2.08, 1 Tm 2.14
F2 0.0713 0.6700 0.0713  1 V 2.08, 1 Tm 2.14
F3 0.0794 0.6793 0.6793  2 V 2.05
F4 0.3207 0.3207 0.9206  2 V 2.05
F5 0.3207 0.9206 0.3207  2 V 2.05
F6 0.3300 0.9287 0.9287  1 V 2.08, 1 Tm 2.14
F7 0.6700 0.0713 0.0713  1 V 2.08, 1 Tm 2.14
F8 0.6793 0.0794 0.6793  2 V 2.05
F9 0.6793 0.6793 0.0794  2 V 2.05
F10 0.9206 0.3207 0.3207  2 V 2.05
F11 0.9287 0.3300 0.9287  1 V 2.08, 1 Tm 2.14
F12 0.9287 0.9287 0.3300  1 V 2.08, 1 Tm 2.14

Results
- Calculated density: 4923 kg/m3
- E: -5.859 eV/atom
- Density of states at the Fermi level: 0.27 states/eV per atom
- Crystal system: trigonal